A) The following is a DFT calculation (PBE-GGA) of crystalline BaAs2Pd4 at its relaxed geometry.

Structure (extended XYZ):
```
28
Lattice="-0.628 3.946 -1.234 -7.304 -1.030 0.424 0.235 5.433 17.258" Properties=species:S:1:pos:R:3 pbc="T T T"
As -5.136 3.251 9.471
As -2.561 5.097 6.977
As -1.704 7.918 15.563
As -5.993 0.430 0.885
As -0.092 5.061 12.693
As -7.605 3.287 3.755
As -4.059 6.486 12.185
As -3.638 1.861 4.263
Ba -0.574 6.225 9.574
Ba -7.123 2.123 6.874
Ba -3.845 5.285 15.319
Ba -3.852 3.063 1.129
Pd -2.376 4.459 11.930
Pd -5.321 3.889 4.518
Pd -6.319 6.447 13.211
Pd -1.378 1.900 3.237
Pd -5.180 4.027 11.976
Pd -2.517 4.321 4.472
Pd -1.816 7.119 13.067
Pd -5.881 1.228 3.381
Pd -2.646 3.502 9.006
Pd -5.050 4.846 7.442
Pd -6.509 7.340 16.162
Pd -1.187 1.008 0.286
Pd -3.606 2.584 6.557
Pd -4.091 5.764 9.891
Pd -7.636 2.564 1.461
Pd -0.061 5.783 14.987
```

Calculated values
density of states at the Fermi level: 0.4746 states/eV per atom



B) The following is a DFT calculation (PBE-GGA) of crystalline BaAs2Pd4 at its relaxed geometry.

Structure (extended XYZ):
```
7
Lattice="-3.227 -2.030 2.503 2.976 -0.590 3.358 -3.304 6.516 1.024" Properties=species:S:1:pos:R:3 pbc="T T T"
Ba 0.000 0.000 0.000
As -0.550 0.142 3.561
As -3.006 3.754 3.323
Pd -1.256 2.563 4.613
Pd 0.804 2.047 2.696
Pd -2.299 1.334 2.272
Pd -1.133 3.879 1.685
```

Calculated values
density of states at the Fermi level: 0.6178 states/eV per atom



Which structure loses on stability? B) does.



A) The following is a DFT calculation (PBE-GGA) of crystalline BaAs3Pd3 at its relaxed geometry.

Structure (extended XYZ):
```
14
Lattice="6.946 0.000 0.000 0.000 6.946 0.000 0.000 0.000 6.946" Properties=species:S:1:pos:R:3 pbc="T T T"
As 0.000 1.736 3.473
As 0.000 5.209 3.473
As 3.473 0.000 5.209
As 5.209 3.473 0.000
As 3.473 0.000 1.736
As 1.736 3.473 0.000
Ba 3.473 3.473 3.473
Ba 0.000 0.000 0.000
Pd 1.736 0.000 3.473
Pd 0.000 3.473 1.736
Pd 3.473 5.209 0.000
Pd 5.209 0.000 3.473
Pd 0.000 3.473 5.209
Pd 3.473 1.736 0.000
```

Calculated values
density of states at the Fermi level: 0.5449 states/eV per atom



B) The following is a DFT calculation (PBE-GGA) of crystalline BaAs3Pd3 at its relaxed geometry.

Structure (extended XYZ):
```
14
Lattice="7.209 0.000 0.000 3.605 6.243 0.000 3.605 2.081 7.681" Properties=species:S:1:pos:R:3 pbc="T T T"
Ba 3.605 2.081 0.007
Ba 10.814 6.243 7.674
As 8.360 6.310 5.435
As 8.494 2.091 5.435
As 4.773 4.085 5.435
As 9.645 4.239 2.246
As 5.924 6.233 2.246
As 6.058 2.014 2.246
Pd 4.819 4.121 2.950
Pd 8.440 2.113 2.950
Pd 8.368 6.253 2.950
Pd 6.050 2.072 4.731
Pd 5.979 6.211 4.731
Pd 9.599 4.203 4.731
```

Calculated values
density of states at the Fermi level: 0.4571 states/eV per atom



Which structure loses on stability? B) does.



A) The following is a DFT calculation (PBE-GGA) of crystalline BaAsPd3 at its relaxed geometry.

Structure (extended XYZ):
```
10
Lattice="5.428 0.000 2.440 2.334 6.137 2.065 0.171 0.266 6.876" Properties=species:S:1:pos:R:3 pbc="T T T"
Ba 4.806 1.898 3.822
Ba 3.126 4.505 7.559
As 1.252 3.202 4.470
As 2.714 0.000 1.220
Pd 4.887 1.505 7.271
Pd 2.173 1.505 6.050
Pd 5.759 4.898 5.330
Pd 3.046 4.898 4.110
Pd 6.161 5.375 8.066
Pd 1.772 1.028 3.315
```

Calculated values
density of states at the Fermi level: 0.3097 states/eV per atom



B) The following is a DFT calculation (PBE-GGA) of crystalline BaAsPd3 at its relaxed geometry.

Structure (extended XYZ):
```
10
Lattice="5.592 0.000 0.000 0.000 5.592 0.000 -2.796 -2.796 8.056" Properties=species:S:1:pos:R:3 pbc="T T T"
Ba 2.796 0.000 1.762
Ba 2.796 0.000 6.294
As 0.000 0.000 0.000
As 0.000 2.796 4.028
Pd 1.353 2.796 6.079
Pd 0.000 4.149 1.977
Pd 0.000 1.442 1.977
Pd -1.353 2.796 6.079
Pd 0.000 0.000 4.374
Pd 2.796 2.796 3.682
```

Calculated values
density of states at the Fermi level: 0.5437 states/eV per atom



Which structure loses on stability? B) does.



A) The following is a DFT calculation (PBE-GGA) of crystalline BaAsPd3 at its relaxed geometry.

Structure (extended XYZ):
```
5
Lattice="5.316 0.000 0.000 0.000 5.316 0.000 0.000 0.000 5.316" Properties=species:S:1:pos:R:3 pbc="T T T"
As 2.658 2.658 2.658
Ba 0.000 0.000 0.000
Pd 0.000 2.658 0.000
Pd 0.000 0.000 2.658
Pd 2.658 0.000 0.000
```

Calculated values
density of states at the Fermi level: 0.7155 states/eV per atom



B) The following is a DFT calculation (PBE-GGA) of crystalline BaAsPd3 at its relaxed geometry.

Structure (extended XYZ):
```
5
Lattice="-1.960 -4.409 -0.718 0.225 -0.880 4.793 -4.461 1.893 0.557" Properties=species:S:1:pos:R:3 pbc="T T T"
As 0.000 0.000 0.000
Ba -3.098 -1.698 2.316
Pd 0.113 -0.440 2.396
Pd -2.231 0.946 0.279
Pd -0.980 -2.205 -0.359
```

Calculated values
density of states at the Fermi level: 0.9208 states/eV per atom



Which structure loses on stability? A) does.



A) The following is a DFT calculation (PBE-GGA) of crystalline BaAs2Pd3 at its relaxed geometry.

Structure (extended XYZ):
```
12
Lattice="-0.555 -3.279 -2.617 8.113 -0.267 2.035 -4.661 -3.516 5.395" Properties=species:S:1:pos:R:3 pbc="T T T"
Ba 0.811 -6.237 4.220
Ba 2.086 -0.826 0.592
As 3.705 -4.684 5.083
As -0.808 -2.378 -0.271
As 3.105 -4.034 0.974
As -0.209 -3.028 3.839
Pd 2.325 -3.169 3.478
Pd 3.912 -5.581 2.740
Pd -1.974 -4.329 2.420
Pd 4.871 -2.734 2.392
Pd -1.015 -1.482 2.072
Pd 0.572 -3.893 1.334
```

Calculated values
density of states at the Fermi level: 0.5276 states/eV per atom



B) The following is a DFT calculation (PBE-GGA) of crystalline BaAs2Pd3 at its relaxed geometry.

Structure (extended XYZ):
```
12
Lattice="-2.181 4.121 7.652 2.181 -4.121 7.652 2.181 4.121 -7.652" Properties=species:S:1:pos:R:3 pbc="T T T"
Ba 0.000 0.000 2.504
Ba 0.000 0.000 12.800
As 2.181 1.268 0.000
As 0.000 2.853 7.652
As 0.000 4.121 2.109
As 2.181 0.000 5.543
Pd 2.181 2.756 1.969
Pd 0.000 2.664 0.000
Pd 2.181 2.756 -1.969
Pd 0.000 1.365 9.621
Pd 0.000 5.579 0.000
Pd 0.000 1.365 5.683
```

Calculated values
density of states at the Fermi level: 0.5597 states/eV per atom



Which structure loses on stability? B) does.



A) The following is a DFT calculation (PBE-GGA) of crystalline BaPmAs2 at its relaxed geometry.

Structure (extended XYZ):
```
4
Lattice="4.417 0.000 0.000 2.209 3.825 0.000 2.209 1.275 7.546" Properties=species:S:1:pos:R:3 pbc="T T T"
As 2.209 1.275 1.617
As 6.626 3.825 5.929
Ba 4.417 2.550 3.773
Pm 0.000 0.000 0.000
```

Calculated values
density of states at the Fermi level: 0.9605 states/eV per atom



B) The following is a DFT calculation (PBE-GGA) of crystalline BaPmAs2 at its relaxed geometry.

Structure (extended XYZ):
```
4
Lattice="-1.446 -2.879 0.870 4.533 -1.281 3.292 -2.506 2.608 4.466" Properties=species:S:1:pos:R:3 pbc="T T T"
As -1.253 1.304 2.233
As 2.266 -0.641 1.646
Ba 0.290 -0.776 4.314
Pm -0.723 -1.440 0.435
```

Calculated values
density of states at the Fermi level: 0.4746 states/eV per atom



Which structure loses on stability? B) does.